DFT (PBE-GGA) results for crystalline BaCuAg2 at its relaxed geometry.

a = 5.372 Å, b = 5.372 Å, c = 5.372 Å
α = 126.94°, β = 112.79°, γ = 90.67°
Fractional coordinates of all 4 atoms:
Cu1 0.171 0.671 0.500
Ba1 0.496 0.496 0.000
Ag1 0.023 0.023 0.000
Ag2 0.810 0.310 0.500

Values from the calculation:
polymorph energy (0 for the lowest one)	13.6	kJ per mole of atoms
raw total energy	-2.89	eV/atom
SG	Imm2